## ThTiAlIr2 (PBE)

Data for ThTiAlIr2 after structural relaxation.

Calculated values
Energy of formation from the pure elements   -890 meV per atom
E_tot   -41.23 eV per cell
Total magnetization   0.00 μB/cell

Cell and atoms, written as POSCAR:
```
ThTiAlIr2
1.0
-2.025 2.025 5.876
2.025 -2.025 5.876
2.025 2.025 -5.876
Th Ti Al Ir
1 1 1 2
Cartesian
0.000 0.000 0.000
2.025 0.000 2.938
0.000 2.025 2.938
0.000 0.000 4.526
0.000 0.000 7.225
```